No. 1
DFT (GGA-PBE) results for an optimized crystal structure of CeSi2Au3.

abc: 15.9377 4.3278 7.5148
angles: 90.00 115.81 90.00
Closest atoms and distances in Å follow each position.
Space group C2/m (No. 12)
Unique sites:
1 Ce 0.1482 0.0000 0.0717  7 Si 3.15-3.34, 7 Au 3.21-3.38
2 Si 0.0123 0.5000 0.1645  1 Si 2.33, 4 Au 2.54-2.56
3 Si 0.1942 0.0000 0.7043  4 Au 2.47-2.63
4 Au 0.0439 0.0000 0.3654  3 Si 2.56-2.63
5 Au 0.1207 0.5000 0.7355  3 Si 2.52-2.54
6 Au 0.1830 0.5000 0.4128  2 Si 2.47-2.54

**Magnetization**: 2.24 μB per cell
**Raw formation energy**: -0.470 eV per atom
**Excess energy over the best structure of this formula in the dataset**: 0 meV per atom

=====

No. 2
DFT (GGA-PBE) results for an optimized crystal structure of CaY2Zn3.

abc: 3.6011 3.6011 10.9097
angles: 90.00 90.00 90.00
Closest atoms and distances in Å follow each position.
Space group P4/mmm (No. 123)
Unique sites:
1 Ca 0.0000 0.0000 0.0000  8 Zn 3.21
2 Y 0.0000 0.0000 0.3376  8 Zn 3.07-3.10
3 Zn 0.5000 0.5000 0.1798  4 Y 3.07, 4 Ca 3.21
4 Zn 0.5000 0.5000 0.5000  8 Y 3.10

**E**: -20.7 eV for the cell shown
**Magnetization**: 0.00 μB per cell

=====

No. 3
DFT (GGA-PBE) results for an optimized crystal structure of IrWAu.

abc: 6.1099 6.1099 6.1099
angles: 90.00 90.00 90.00
Closest atoms and distances in Å follow each position.
Space group F-43m (No. 216)
Unique sites:
1 Ir 0.0000 0.0000 0.0000  4 W 2.65
2 W 0.2500 0.2500 0.2500  4 Ir 2.65, 4 Au 2.65
3 Au 0.0000 0.0000 0.5000  4 W 2.65

**Magnetization**: 0.00 μB per cell
**Excess energy over the best structure of this formula in the dataset**: 570 meV per atom

=====

No. 4
DFT (GGA-PBE) results for an optimized crystal structure of BeAgI2O.

abc: 5.6611 5.6611 4.0089
angles: 90.00 90.00 90.00
Closest atoms and distances in Å follow each position.
Space group P4/mmm (No. 123)
Unique sites:
1 Be 0.0000 0.0000 0.0000  8 I 3.47
2 Ag 0.5000 0.5000 0.5000  2 O 2.00
3 I 0.0000 0.5000 0.5000  2 Ag 2.83
4 O 0.5000 0.5000 0.0000  2 Ag 2.00

**Magnetization**: 0.00 μB per cell
**Raw formation energy**: 0.719 eV per atom
**Excess energy over the best structure of this formula in the dataset**: 1357 meV per atom

=====

No. 5
DFT (GGA-PBE) results for an optimized crystal structure of RuAu3S.

abc: 4.6545 4.6545 4.6545
angles: 90.00 90.00 90.00
Closest atoms and distances in Å follow each position.
Space group Pm-3m (No. 221)
Unique sites:
1 Ru 0.0000 0.0000 0.0000  12 Au 3.29
2 Au 0.0000 0.5000 0.5000  2 S 2.33
3 S 0.5000 0.5000 0.5000  6 Au 2.33

**Magnetization**: 1.27 μB per cell
**Raw formation energy**: 1.041 eV per atom
**Excess energy over the best structure of this formula in the dataset**: 0 meV per atom

=====

No. 6
DFT (GGA-PBE) results for an optimized crystal structure of BeRuPb2.

abc: 3.3063 4.1657 12.6865
angles: 90.00 90.00 90.00
Closest atoms and distances in Å follow each position.
Space group Imm2 (No. 44)
Unique sites:
1 Be 0.0000 0.0000 0.0000  2 Ru 2.21
2 Ru 0.0000 0.5000 0.3848  2 Be 2.21
3 Pb 0.0000 0.0000 0.5671  4 Be 2.79, 2 Ru 3.11
4 Pb 0.0000 0.5000 0.8062  4 Ru 2.84

**Magnetization**: 0.00 μB per cell
**Excess energy over the best structure of this formula in the dataset**: 204 meV per atom

=====

No. 7
DFT (GGA-PBE) results for an optimized crystal structure of Sr3Ge4Au.

abc: 4.8224 5.9467 16.3780
angles: 90.00 90.00 90.00
Closest atoms and distances in Å follow each position.
Space group Immm (No. 71)
Unique sites:
1 Sr 0.0000 0.0000 0.0000  8 Ge 3.31
2 Sr 0.0000 0.5000 0.1961  6 Ge 3.25-3.29
3 Ge 0.0000 0.2952 0.3829  1 Ge 2.44, 1 Au 2.60
4 Au 0.0000 0.0000 0.5000  4 Ge 2.60

**E**: -60.5 eV for the cell shown
**Magnetization**: 0.00 μB per cell

=====

No. 8
DFT (GGA-PBE) results for an optimized crystal structure of BaZrP.

abc: 4.2443 4.2443 10.5894
angles: 90.00 90.00 90.00
Closest atoms and distances in Å follow each position.
Space group P4/nmm (No. 129, origin choice 2)
Unique sites:
1 Ba 0.2500 0.2500 0.1957  4 P 3.36
2 Zr 0.2500 0.7500 0.5000  4 P 2.73, 4 Zr 3.00
3 P 0.2500 0.2500 0.6621  4 Zr 2.73

**Magnetization**: 0.00 μB per cell
**Excess energy over the best structure of this formula in the dataset**: 0 meV per atom

=====

No. 9
DFT (GGA-PBE) results for an optimized crystal structure of NaFe2BiAs.

abc: 4.5553 4.5553 5.8299
angles: 90.00 90.00 90.00
Closest atoms and distances in Å follow each position.
Space group P4/mmm (No. 123)
Unique sites:
1 Na 0.0000 0.0000 0.0000  4 Bi 3.22
2 Fe 0.0000 0.5000 0.5000  2 As 2.28
3 Bi 0.5000 0.5000 0.0000  2 As 2.91, 4 Na 3.22
4 As 0.5000 0.5000 0.5000  4 Fe 2.28

**E**: -23.9 eV for the cell shown
**Magnetization**: 5.34 μB per cell

=====

No. 10
DFT (GGA-PBE) results for an optimized crystal structure of La2PmPr2.

abc: 3.5541 6.3379 8.9912
angles: 103.70 101.31 106.18
Closest atoms and distances in Å follow each position.
Space group P-1 (No. 2)
Unique sites:
1 La 0.1969 0.3044 0.0924  1 Pm 3.42, 5 La 3.55-3.73, 5 Pr 3.73-3.78
2 Pm 0.5000 0.5000 0.5000  2 La 3.42, 2 Pm 3.55, 6 Pr 3.64-3.75
3 Pr 0.3764 0.0566 0.6979  4 Pr 3.55-3.78, 3 Pm 3.64-3.75, 5 La 3.73-3.78

**Magnetization**: 0.00 μB per cell
**Excess energy over the best structure of this formula in the dataset**: 0 meV per atom

=====

No. 11
DFT (GGA-PBE) results for an optimized crystal structure of UVRu2.

abc: 2.8600 2.8600 26.6894
angles: 90.00 90.00 120.00
Closest atoms and distances in Å follow each position.
Space group R-3m (No. 166, hexagonal axes)
Unique sites:
1 U 0.0000 0.0000 0.0000  6 U 2.86, 6 Ru 3.01
2 V 0.0000 0.0000 0.5000  6 Ru 2.54
3 Ru 0.0000 0.0000 0.2391  3 V 2.54

**E**: -116.7 eV for the cell shown
**Magnetization**: 0.00 μB per cell

=====

No. 12
DFT (GGA-PBE) results for an optimized crystal structure of ZrRu2Rh.

abc: 6.3764 6.3764 6.3764
angles: 90.00 90.00 90.00
Closest atoms and distances in Å follow each position.
Space group F-43m (No. 216)
Unique sites:
1 Zr 0.0000 0.0000 0.0000  4 Ru 2.76, 4 Rh 2.76
2 Ru 0.0000 0.0000 0.5000  4 Ru 2.76, 4 Rh 2.76
3 Ru 0.2500 0.2500 0.2500  4 Zr 2.76, 4 Ru 2.76
4 Rh 0.2500 0.2500 0.7500  4 Zr 2.76, 4 Ru 2.76

**E**: -138.5 eV for the cell shown
**Magnetization**: 11.83 μB per cell

=====

Question: Which of these has the highest magnetization?
Answer: ZrRu2Rh

=====

Question: Which of these has the highest magnetization?
Answer: ZrRu2Rh

=====

Repeat the fourth record exactly.
DFT (GGA-PBE) results for an optimized crystal structure of BeAgI2O.

abc: 5.6611 5.6611 4.0089
angles: 90.00 90.00 90.00
Closest atoms and distances in Å follow each position.
Space group P4/mmm (No. 123)
Unique sites:
1 Be 0.0000 0.0000 0.0000  8 I 3.47
2 Ag 0.5000 0.5000 0.5000  2 O 2.00
3 I 0.0000 0.5000 0.5000  2 Ag 2.83
4 O 0.5000 0.5000 0.0000  2 Ag 2.00

**Magnetization**: 0.00 μB per cell
**Raw formation energy**: 0.719 eV per atom
**Excess energy over the best structure of this formula in the dataset**: 1357 meV per atom